Entry 1:
# RbNbSb2S PBE relaxed
# **Magnetic moment**: 0.0 Bohr magnetons per cell
# **Crystal system**: tetragonal
# **Energy relative to the elements, uncorrected**: 2.90 eV per formula unit
# **Fermi-level density of states**: 2.354 states/eV/atom
data_RbNbSb2S
_chemical_formula_sum 'Rb1 Nb1 Sb2 S1'
_cell_length_a 5.263
_cell_length_b 5.263
_cell_length_c 6.498
_cell_angle_alpha 90.00
_cell_angle_beta 90.00
_cell_angle_gamma 90.00
_space_group_name_H-M_alt 'P 4/m m m'
_space_group_IT_number 123
_space_group_name_Hall '-P 4 2'
loop_
_atom_site_label
_atom_site_type_symbol
_atom_site_fract_x
_atom_site_fract_y
_atom_site_fract_z
Rb1 Rb 0.000 0.000 0.000
Nb1 Nb 0.000 0.000 0.500
Sb1 Sb 0.000 0.500 0.500
S1 S 0.500 0.500 0.000


Entry 2:
# Rb2SrNbS4 PBE relaxed
# **Magnetic moment**: 2.0 Bohr magnetons per cell
# **Crystal system**: tetragonal
# **Energy relative to the elements, uncorrected**: -9.85 eV per formula unit
# **Fermi-level density of states**: 0.475 states/eV/atom
data_Rb2SrNbS4
_chemical_formula_sum 'Rb4 Sr2 Nb2 S8'
_cell_length_a 7.675
_cell_length_b 7.675
_cell_length_c 9.443
_cell_angle_alpha 90.00
_cell_angle_beta 90.00
_cell_angle_gamma 90.00
_space_group_name_H-M_alt 'I -4'
_space_group_IT_number 82
_space_group_name_Hall 'I -4'
loop_
_atom_site_label
_atom_site_type_symbol
_atom_site_fract_x
_atom_site_fract_y
_atom_site_fract_z
Rb1 Rb 0.000 0.000 0.000
Rb2 Rb 0.000 0.500 0.250
Sr1 Sr 0.000 0.000 0.500
Nb1 Nb 0.000 0.500 0.750
S1 S 0.170 0.710 0.631


Entry 3:
# RbSrNbS4 PBE relaxed
# **Magnetic moment**: 0.0 Bohr magnetons per cell
# **Crystal system**: monoclinic
# **Energy relative to the elements, uncorrected**: -9.89 eV per formula unit
# **Fermi-level density of states**: 0.000 states/eV/atom
data_RbSrNbS4
_chemical_formula_sum 'Rb2 Sr2 Nb2 S8'
_cell_length_a 7.097
_cell_length_b 7.023
_cell_length_c 9.206
_cell_angle_alpha 90.00
_cell_angle_beta 107.00
_cell_angle_gamma 90.00
_space_group_name_H-M_alt 'P 1 21/m 1'
_space_group_IT_number 11
_space_group_name_Hall '-P 2yb'
loop_
_atom_site_label
_atom_site_type_symbol
_atom_site_fract_x
_atom_site_fract_y
_atom_site_fract_z
Rb1 Rb 0.224 0.250 0.434
Sr1 Sr 0.272 0.250 0.949
Nb1 Nb 0.279 0.750 0.179
S1 S 0.081 0.750 0.336
S2 S 0.089 0.750 0.932
S3 S 0.490 0.005 0.220


Entry 4:
# RbSrNbS2 PBE relaxed
# **Magnetic moment**: 4.0 Bohr magnetons per cell
# **Crystal system**: tetragonal
# **Energy relative to the elements, uncorrected**: 3.24 eV per formula unit
# **Fermi-level density of states**: 0.642 states/eV/atom
data_RbSrNbS2
_chemical_formula_sum 'Rb1 Sr1 Nb1 S2'
_cell_length_a 5.536
_cell_length_b 5.536
_cell_length_c 5.819
_cell_angle_alpha 90.00
_cell_angle_beta 90.00
_cell_angle_gamma 90.00
_space_group_name_H-M_alt 'P 4/m m m'
_space_group_IT_number 123
_space_group_name_Hall '-P 4 2'
loop_
_atom_site_label
_atom_site_type_symbol
_atom_site_fract_x
_atom_site_fract_y
_atom_site_fract_z
Rb1 Rb 0.000 0.000 0.000
Sr1 Sr 0.000 0.000 0.500
Nb1 Nb 0.500 0.500 0.000
S1 S 0.000 0.500 0.500


Entry 5:
# RbNbTcS3 PBE relaxed
# **Magnetic moment**: 0.0 Bohr magnetons per cell
# **Crystal system**: monoclinic
# **Energy relative to the elements, uncorrected**: -5.55 eV per formula unit
# **Fermi-level density of states**: 0.482 states/eV/atom
data_RbNbTcS3
_chemical_formula_sum 'Rb2 Nb2 Tc2 S6'
_cell_length_a 8.825
_cell_length_b 3.542
_cell_length_c 9.697
_cell_angle_alpha 90.00
_cell_angle_beta 115.26
_cell_angle_gamma 90.00
_space_group_name_H-M_alt 'P 1 21/m 1'
_space_group_IT_number 11
_space_group_name_Hall '-P 2yb'
loop_
_atom_site_label
_atom_site_type_symbol
_atom_site_fract_x
_atom_site_fract_y
_atom_site_fract_z
Rb1 Rb 0.233 0.250 0.245
Nb1 Nb 0.308 0.750 0.836
Tc1 Tc 0.088 0.250 0.610
S1 S 0.122 0.250 0.866
S2 S 0.221 0.750 0.548
S3 S 0.467 0.750 0.131


Entry 6:
# RbNbTeS6 PBE relaxed
# **Magnetic moment**: 0.0 Bohr magnetons per cell
# **Crystal system**: trigonal
# **Energy relative to the elements, uncorrected**: -3.91 eV per formula unit
# **Fermi-level density of states**: 0.500 states/eV/atom
data_RbNbTeS6
_chemical_formula_sum 'Rb1 Nb1 Te1 S6'
_cell_length_a 6.4935
_cell_length_b 6.4935
_cell_length_c 7.5479
_cell_angle_alpha 90.00
_cell_angle_beta 90.00
_cell_angle_gamma 120.00
_space_group_name_H-M_alt 'P 3'
_space_group_IT_number 143
_space_group_name_Hall 'P 3'
loop_
_atom_site_label
_atom_site_type_symbol
_atom_site_fract_x
_atom_site_fract_y
_atom_site_fract_z
Rb1 Rb 0.0000 0.0000 0.0000
Nb1 Nb 0.3333 0.6667 0.5166
Te1 Te 0.6667 0.3333 0.4566
S1 S 0.0271 0.5999 0.2819
S2 S 0.3740 0.0059 0.6684